(1)
VASP calculation (PBE-GGA) on an optimized crystal structure of MgRuW2.

Calculated values
- SG = No. 166
- calculated total energy (eV/atom) = -8.864
- ΔH_f (0 K) (eV/atom) = 0.33

```
MgRuW2
1.0
1.409 0.813 9.444
-1.409 0.813 9.444
0.000 -1.627 9.444
Mg Ru W
1 1 2
direct
0.000 0.000 0.000
0.500 0.500 0.500
0.244 0.244 0.244
0.756 0.756 0.756
```

=====

(2)
VASP calculation (PBE-GGA) on an optimized crystal structure of MgRu2W.

Calculated values
- SG = No. 99
- calculated total energy (eV/atom) = -8.047
- ΔH_f (0 K) (eV/atom) = 0.23

```
MgRu2W
1.0
2.749 0.000 0.000
0.000 2.749 0.000
0.000 0.000 8.237
Mg Ru W
1 2 1
direct
0.000 0.000 0.000
0.000 0.000 0.461
0.500 0.500 0.253
0.500 0.500 0.719
```